[1]
A plane-wave DFT calculation with PBE was carried out for a geometry-optimized LaRh2 structure.

Computed properties:
- space group = Fm-3m
- total DFT energy (no corrections) (eV per atom) = -6.521

Structure (POSCAR):
```
LaRh2
1.0
0.000 3.214 3.214
3.214 0.000 3.214
3.214 3.214 0.000
La Rh
1 2
direct
0.000 0.000 0.000 La
0.750 0.750 0.750 Rh
0.250 0.250 0.250 Rh
```

[2]
A plane-wave DFT calculation with PBE was carried out for a geometry-optimized La2Rh structure.

Computed properties:
- space group = Cm
- total DFT energy (no corrections) (eV per atom) = -6.298

Structure (POSCAR):
```
La2Rh
1.0
6.995 0.000 0.001
0.000 3.982 0.000
0.007 1.991 6.284
La Rh
4 2
direct
0.030 0.916 0.167 La
0.778 0.639 0.722 La
0.530 0.361 0.277 La
0.278 0.639 0.722 La
0.525 0.018 0.964 Rh
0.026 0.259 0.481 Rh
```

[3]
A plane-wave DFT calculation with PBE was carried out for a geometry-optimized La2Rh structure.

Computed properties:
- space group = Fd-3m
- total DFT energy (no corrections) (eV per atom) = -5.153

Structure (POSCAR):
```
La2Rh
1.0
-0.726 -5.987 0.868
-4.418 -2.991 -2.942
1.413 -3.917 -4.448
La Rh
4 2
direct
0.125 0.625 0.125 La
0.125 0.125 0.625 La
0.625 0.125 0.125 La
0.125 0.125 0.125 La
0.750 0.750 0.750 Rh
0.500 0.500 0.500 Rh
```

[4]
A plane-wave DFT calculation with PBE was carried out for a geometry-optimized La2Rh3 structure.

Computed properties:
- space group = Fdd2
- total DFT energy (no corrections) (eV per atom) = -7.020

Structure (POSCAR):
```
La2Rh3
1.0
5.472 0.000 0.000
2.736 4.868 0.000
-2.736 0.000 8.112
La Rh
4 6
direct
0.511 0.661 0.905 La
0.267 0.339 0.095 La
0.856 0.161 0.595 La
0.422 0.839 0.405 La
0.450 0.146 0.750 Rh
0.846 0.854 0.250 Rh
0.949 0.646 0.750 Rh
0.846 0.354 0.250 Rh
0.927 0.000 0.000 Rh
0.177 0.500 0.500 Rh
```

[5]
A plane-wave DFT calculation with PBE was carried out for a geometry-optimized LaRh2 structure.

Computed properties:
- space group = Cmcm
- total DFT energy (no corrections) (eV per atom) = -6.727

Structure (POSCAR):
```
LaRh2
1.0
1.959 -9.090 0.000
1.959 9.090 0.000
0.000 0.000 3.960
La Rh
2 4
direct
0.660 0.340 0.750 La
0.340 0.660 0.250 La
0.445 0.555 0.750 Rh
0.052 0.948 0.750 Rh
0.948 0.052 0.250 Rh
0.555 0.445 0.250 Rh
```

[6]
A plane-wave DFT calculation with PBE was carried out for a geometry-optimized LaRh2 structure.

Computed properties:
- space group = Cmcm
- total DFT energy (no corrections) (eV per atom) = -6.954

Structure (POSCAR):
```
LaRh2
1.0
-3.215 4.732 3.693
0.764 -6.700 -0.944
3.201 -0.034 2.831
La Rh
2 4
direct
0.896 0.104 0.750 La
0.104 0.896 0.250 La
0.589 0.411 0.750 Rh
0.411 0.589 0.250 Rh
0.252 0.748 0.750 Rh
0.748 0.252 0.250 Rh
```